Entry 1:
VASP calculation (PBE-GGA) on an optimized crystal structure of Ca2FeIr.

abc: 4.419 4.108 5.717
angles: 90.00 112.66 90.00
Fractional coordinates of all 4 atoms:
Ca1 0.000 0.000 0.000
Ca2 0.283 0.500 0.567
Fe1 0.694 0.000 0.388
Ir1 0.585 0.500 0.170

**Energy relative to the lowest polymorph listed for this composition**: 0.0 meV per atom
**Symmetry**: No. 6
**DFT formation energy**: -0.027 eV per atom
**Uncorrected energy**: -5.359 eV/atom
**DOS at the Fermi energy**: 5.0 states/eV/cell

=====

Entry 2:
VASP calculation (PBE-GGA) on an optimized crystal structure of Cu4Sb3PbO12.

abc: 6.868 6.868 6.868
angles: 106.59 106.59 106.59
Fractional coordinates of all 20 atoms:
Cu1 0.000 0.000 0.000
Cu2 0.000 0.414 0.586
Cu3 0.414 0.586 0.000
Cu4 0.586 0.000 0.414
Sb1 0.069 0.931 0.500
Sb2 0.500 0.069 0.931
Sb3 0.931 0.500 0.069
Pb1 0.500 0.500 0.500
O1 0.000 0.595 0.405
O2 0.000 0.827 0.173
O3 0.147 0.236 0.508
O4 0.173 0.000 0.827
O5 0.236 0.508 0.147
O6 0.405 0.000 0.595
O7 0.492 0.764 0.853
O8 0.508 0.147 0.236
O9 0.595 0.405 0.000
O10 0.764 0.853 0.492
O11 0.827 0.173 0.000
O12 0.853 0.492 0.764

**Symmetry**: No. 155
**Uncorrected energy**: -5.571 eV/atom
**DOS at the Fermi energy**: 11.9 states/eV/cell